Entry from Alexandria via LeMat-Bulk: crystalline Cu2TcW at its relaxed geometry (PBE-GGA).

Unit cell a=3.238 b=3.238 c=5.224 alpha=90.00 beta=90.00 gamma=90.00
Space group P4/mmm (No. 123)
Inequivalent atoms, fractional coordinates:
Cu: 0.000 0.000 0.248 (multiplicity 2)
Tc: 0.500 0.500 0.000 (multiplicity 1)
W: 0.500 0.500 0.500 (multiplicity 1)

Computed properties:
The energy above the most stable polymorph in this dataset is 228 meV/atom. Its size of the total moment is 0.00 μB/f.u. The energy is -7.45 eV per atom.